# La4YEr

La4YEr after structural relaxation (PBE, Alexandria via LeMat-Bulk).

Results
Density in g/cm³: 6.4
VASP energy in eV per atom: -5.061
Symmetry: Pmmm

Cell lengths 3.5645, 5.8558, 10.0264 Å; angles 90.00, 90.00, 90.00 degrees
Closest atoms and distances in Å follow each position.
Fractional coordinates of all 6 atoms:
La1 0.0000 0.0000 0.1704  5 La 3.32-3.56
La2 0.0000 0.0000 0.8296  5 La 3.32-3.56
La3 0.0000 0.5000 0.3268  5 La 3.32-3.56
La4 0.0000 0.5000 0.6732  5 La 3.32-3.56
Y1 0.5000 0.0000 0.5000  2 Y 3.56, 12 La 3.75-3.84
Er1 0.5000 0.5000 0.0000  2 Er 3.56, 12 La 3.73-3.83